Below is a relaxed NdYRh4 crystal, with properties calculated at the PBE level.

## Properties
- calculated density (g/cm3) = 9.704
- calculated volume (Å³/cell) = 110.3
- density of states at the Fermi level (states/eV/atom) = 0.66
- final energy (eV for the cell shown) = -44.8

Cell and atoms, written as CIF:
```
data_NdYRh4
_chemical_formula_sum 'Nd1 Y1 Rh4'
_cell_length_a 5.384
_cell_length_b 5.384
_cell_length_c 5.384
_cell_angle_alpha 60.00
_cell_angle_beta 60.00
_cell_angle_gamma 60.00
_symmetry_space_group_name_H-M 'P 1'
_symmetry_Int_Tables_number 1
loop_
_symmetry_equiv_pos_as_xyz
'x,y,z'
loop_
_atom_site_label
_atom_site_type_symbol
_atom_site_fract_x
_atom_site_fract_y
_atom_site_fract_z
Rh1 Rh 0.125 0.625 0.625
Rh2 Rh 0.625 0.125 0.625
Rh3 Rh 0.625 0.625 0.125
Rh4 Rh 0.625 0.625 0.625
Y1 Y 0.250 0.250 0.250
Nd1 Nd 0.000 0.000 0.000
```

=====

Below is a relaxed Mo5Pt crystal, with properties calculated at the PBE level.

## Properties
- distance to the lowest polymorph of the same formula (eV/atom) = 0.000
- calculated density (g/cm3) = 11.798
- calculated volume (Å³/cell) = 95.0
- density of states at the Fermi level (states/eV/atom) = 1.23
- final energy (eV for the cell shown) = -60.1

Cell and atoms, written as CIF:
```
data_Mo5Pt
_chemical_formula_sum 'Mo5 Pt1'
_cell_length_a 6.888
_cell_length_b 6.888
_cell_length_c 3.341
_cell_angle_alpha 90.00
_cell_angle_beta 90.00
_cell_angle_gamma 143.19
_symmetry_space_group_name_H-M 'P 1'
_symmetry_Int_Tables_number 1
loop_
_symmetry_equiv_pos_as_xyz
'x,y,z'
loop_
_atom_site_label
_atom_site_type_symbol
_atom_site_fract_x
_atom_site_fract_y
_atom_site_fract_z
Mo1 Mo 0.660 0.340 0.000
Mo2 Mo 0.500 0.500 0.500
Mo3 Mo 0.829 0.171 0.500
Mo4 Mo 0.171 0.829 0.500
Mo5 Mo 0.340 0.660 0.000
Pt1 Pt 0.000 0.000 0.000
```

=====

Below is a relaxed Dy4TePtSe2 crystal, with properties calculated at the PBE level.

## Properties
- calculated density (g/cm3) = 9.085
- calculated volume (Å³/cell) = 206.6
- density of states at the Fermi level (states/eV/atom) = 0.61
- formation energy without anion corrections (meV per atom) = -1492
- final energy (eV for the cell shown) = -46.5

Cell and atoms, written as CIF:
```
data_Dy4TePtSe2
_chemical_formula_sum 'Dy4 Te1 Pt1 Se2'
_cell_length_a 4.079
_cell_length_b 7.302
_cell_length_c 7.323
_cell_angle_alpha 71.33
_cell_angle_beta 90.00
_cell_angle_gamma 90.00
_symmetry_space_group_name_H-M 'P 1'
_symmetry_Int_Tables_number 1
loop_
_symmetry_equiv_pos_as_xyz
'x,y,z'
loop_
_atom_site_label
_atom_site_type_symbol
_atom_site_fract_x
_atom_site_fract_y
_atom_site_fract_z
Te1 Te 0.000 0.500 0.500
Dy1 Dy 0.000 0.735 0.777
Dy2 Dy 0.500 0.241 0.771
Dy3 Dy 0.500 0.759 0.229
Dy4 Dy 0.000 0.265 0.223
Pt1 Pt 0.500 0.500 0.000
Se1 Se 0.500 0.000 0.500
Se2 Se 0.000 0.000 0.000
```

=====

Below is a relaxed Na2Li2W crystal, with properties calculated at the PBE level.

## Properties
- distance to the lowest polymorph of the same formula (eV/atom) = 0.000
- calculated density (g/cm3) = 4.326
- calculated volume (Å³/cell) = 187.1
- density of states at the Fermi level (states/eV/atom) = 0.53
- final energy (eV for the cell shown) = -30.4

Cell and atoms, written as CIF:
```
data_Na2Li2W
_chemical_formula_sum 'Na4 Li4 W2'
_cell_length_a 8.376
_cell_length_b 8.376
_cell_length_c 2.667
_cell_angle_alpha 90.00
_cell_angle_beta 90.00
_cell_angle_gamma 90.00
_symmetry_space_group_name_H-M 'P 1'
_symmetry_Int_Tables_number 1
loop_
_symmetry_equiv_pos_as_xyz
'x,y,z'
loop_
_atom_site_label
_atom_site_type_symbol
_atom_site_fract_x
_atom_site_fract_y
_atom_site_fract_z
Li1 Li 0.827 0.673 0.000
Li2 Li 0.173 0.327 0.000
Li3 Li 0.673 0.173 0.000
Li4 Li 0.327 0.827 0.000
W1 W 0.500 0.500 0.000
W2 W 0.000 0.000 0.000
Na1 Na 0.861 0.361 0.500
Na2 Na 0.639 0.861 0.500
Na3 Na 0.361 0.139 0.500
Na4 Na 0.139 0.639 0.500
```

=====

Below is a relaxed Sr2LiHfI crystal, with properties calculated at the PBE level.

## Properties
- calculated density (g/cm3) = 3.851
- calculated volume (Å³/cell) = 210.3
- density of states at the Fermi level (states/eV/atom) = 1.73
- formation energy without anion corrections (meV per atom) = 463
- final energy (eV for the cell shown) = -14.5

Cell and atoms, written as CIF:
```
data_Sr2LiHfI
_chemical_formula_sum 'Sr2 Li1 Hf1 I1'
_cell_length_a 6.262
_cell_length_b 5.362
_cell_length_c 6.262
_cell_angle_alpha 90.00
_cell_angle_beta 90.00
_cell_angle_gamma 90.00
_symmetry_space_group_name_H-M 'P 1'
_symmetry_Int_Tables_number 1
loop_
_symmetry_equiv_pos_as_xyz
'x,y,z'
loop_
_atom_site_label
_atom_site_type_symbol
_atom_site_fract_x
_atom_site_fract_y
_atom_site_fract_z
Sr1 Sr 0.000 0.000 0.500
Sr2 Sr 0.500 0.000 0.000
Li1 Li 0.500 0.500 0.500
Hf1 Hf 0.000 0.500 0.000
I1 I 0.000 0.000 0.000
```

=====

Below is a relaxed CrCoPt crystal, with properties calculated at the PBE level.

## Properties
- distance to the lowest polymorph of the same formula (eV/atom) = 0.413
- calculated density (g/cm3) = 11.607
- calculated volume (Å³/cell) = 43.8
- density of states at the Fermi level (states/eV/atom) = 1.11
- final energy (eV for the cell shown) = -21.8

Cell and atoms, written as CIF:
```
data_CrCoPt
_chemical_formula_sum 'Cr1 Co1 Pt1'
_cell_length_a 3.956
_cell_length_b 3.956
_cell_length_c 3.956
_cell_angle_alpha 60.00
_cell_angle_beta 60.00
_cell_angle_gamma 60.00
_symmetry_space_group_name_H-M 'P 1'
_symmetry_Int_Tables_number 1
loop_
_symmetry_equiv_pos_as_xyz
'x,y,z'
loop_
_atom_site_label
_atom_site_type_symbol
_atom_site_fract_x
_atom_site_fract_y
_atom_site_fract_z
Pt1 Pt 0.000 0.000 0.000
Co1 Co 0.500 0.500 0.500
Cr1 Cr 0.750 0.750 0.750
```